NpMnGaO6: relaxed, GGA+U.

Its calculated total energy is -7.97 eV per atom. The crystal system is trigonal. As for the total moment: 0.56 μB per atom.

The space group is P-31c (No. 163) and the conventional cell measures 5.2597, 5.2597 and 9.3754 Å, with angles of 90.00, 90.00 and 120.00 degrees. The inequivalent atoms are Np at (0.3333, 0.6667, 0.2500), Mn at (0.0000, 0.0000, 0.0000), Ga at (0.3333, 0.6667, 0.7500) and O at (0.0033, 0.3498, 0.6345).